[1]
The following is a DFT calculation (GGA-PBE) of a relaxed CsLiEr2Br8 crystal.

a = 7.2828 Å, b = 7.3298 Å, c = 8.7150 Å
α = 89.89°, β = 89.96°, γ = 79.60°
Last column: nearest neighbours and their distance in Å.
Space group P-1 (No. 2)
Inequivalent atoms, fractional coordinates:
Cs1 0.0000 0.0000 0.0000 x1  4 Br 3.33
Li1 0.0000 0.0000 0.5000 x1  4 Br 2.77-2.79
Er1 0.5003 0.5002 0.2617 x2  6 Br 2.74-2.90
Br1 0.2730 0.8394 0.7048 x2  1 Er 2.74, 1 Li 2.77
Br2 0.2752 0.8402 0.2943 x2  1 Er 2.74, 1 Li 2.79
Br3 0.2836 0.3819 0.4998 x2  2 Er 2.83-2.84
Br4 0.2966 0.3951 0.0006 x2  2 Er 2.90

Computed properties:
Formation energy from raw total energies ... -2005 kJ/mol of formula units

***

[2]
The following is a DFT calculation (GGA-PBE) of a relaxed CsLi2ErBr6 crystal.

a = 7.0286 Å, b = 7.4933 Å, c = 8.7272 Å
α = 72.27°, β = 84.18°, γ = 62.32°
Last column: nearest neighbours and their distance in Å.
Space group P1 (No. 1)
Inequivalent atoms, fractional coordinates:
Cs1 0.0000 0.0000 0.0000 x1  6 Br 3.65-3.84
Li1 0.1476 0.1542 0.4322 x1  4 Br 2.54-2.63
Li2 0.3230 0.4314 0.6034 x1  4 Br 2.52-2.62
Er1 0.7325 0.7880 0.5252 x1  6 Br 2.77-2.83
Br1 0.0317 0.6328 0.7760 x1  1 Li 2.57, 1 Er 2.77
Br2 0.0704 0.5474 0.3554 x1  2 Li 2.61, 1 Er 2.83
Br3 0.3923 0.0381 0.6882 x1  2 Li 2.62-2.63, 1 Er 2.83
Br4 0.4387 0.9352 0.2716 x1  1 Li 2.56, 1 Er 2.78
Br5 0.6489 0.4502 0.6772 x1  1 Li 2.52, 1 Er 2.77
Br6 0.8139 0.1296 0.3778 x1  1 Li 2.54, 1 Er 2.78

Computed properties:
Formation energy from raw total energies ... -1673 kJ/mol of formula units

***

[3]
The following is a DFT calculation (GGA-PBE) of a relaxed Cs3Li2ErBr9 crystal.

a = 7.8182 Å, b = 7.8182 Å, c = 9.7444 Å
α = 90.00°, β = 90.00°, γ = 120.00°
Last column: nearest neighbours and their distance in Å.
Space group P-3m1 (No. 164)
Inequivalent atoms, fractional coordinates:
Cs1 0.0000 0.0000 0.0000 x1  12 Br 3.91-3.97
Cs2 0.3333 0.6667 0.6738 x2  12 Br 3.90-4.00
Li1 0.3333 0.6667 0.1449 x2  6 Br 2.66-2.92
Er1 0.0000 0.0000 0.5000 x1  6 Br 2.77
Br1 0.0000 0.5000 0.0000 x3  2 Li 2.66
Br2 0.1669 0.3339 0.3350 x6  1 Er 2.77, 1 Li 2.92

Computed properties:
Formation energy from raw total energies ... -2329 kJ/mol of formula units

***

Question: The highest formation energy from raw total energies belongs to which entry?
Answer: CsLi2ErBr6